{"formula": "Rb2NdCl5", "functional": "PBE", "state": "optimized geometry", "formation_energy_uncorrected_ev_per_atom": -2.17, "cell": [[13.508, 0.000, 0.000], [0.000, 8.971, 0.000], [0.000, 0.000, 8.384]], "species": ["Rb", "Rb", "Rb", "Rb", "Rb", "Rb", "Rb", "Rb", "Nd", "Nd", "Nd", "Nd", "Cl", "Cl", "Cl", "Cl", "Cl", "Cl", "Cl", "Cl", "Cl", "Cl", "Cl", "Cl", "Cl", "Cl", "Cl", "Cl", "Cl", "Cl", "Cl", "Cl"], "fractional_positions": [[0.171, 0.005, 0.056], [0.171, 0.495, 0.056], [0.329, 0.505, 0.556], [0.329, 0.995, 0.556], [0.671, 0.005, 0.444], [0.671, 0.495, 0.444], [0.829, 0.505, 0.944], [0.829, 0.995, 0.944], [0.005, 0.250, 0.570], [0.495, 0.750, 0.070], [0.505, 0.250, 0.930], [0.995, 0.750, 0.430], [0.012, 0.250, 0.903], [0.071, 0.542, 0.660], [0.071, 0.958, 0.660], [0.175, 0.250, 0.384], [0.195, 0.750, 0.349], [0.305, 0.250, 0.849], [0.325, 0.750, 0.884], [0.429, 0.042, 0.160], [0.429, 0.458, 0.160], [0.488, 0.750, 0.403], [0.512, 0.250, 0.597], [0.571, 0.542, 0.840], [0.571, 0.958, 0.840], [0.675, 0.250, 0.116], [0.695, 0.750, 0.151], [0.805, 0.250, 0.651], [0.825, 0.750, 0.616], [0.929, 0.042, 0.340], [0.929, 0.458, 0.340], [0.988, 0.750, 0.097]]}



{"formula": "Sr2TaTcTe", "functional": "PBE", "state": "optimized geometry", "formation_energy_uncorrected_ev_per_atom": 1.16, "cell": [[6.074, 0.000, 0.000], [0.000, 6.074, 0.000], [0.000, 0.000, 4.969]], "species": ["Sr", "Sr", "Ta", "Tc", "Te"], "fractional_positions": [[0.000, 0.500, 0.000], [0.500, 0.000, 0.000], [0.000, 0.000, 0.500], [0.500, 0.500, 0.500], [0.500, 0.500, 0.000]]}



{"formula": "PuHfIn", "functional": "PBE", "state": "optimized geometry", "e_above_lowest_polymorph_ev_per_fu": 0.00, "cell": [[-1.569, 1.569, 7.233], [1.569, -1.569, 7.233], [1.569, 1.569, -7.233]], "species": ["Pu", "Hf", "In"], "fractional_positions": [[0.000, 0.000, 0.000], [0.332, 0.332, 0.000], [0.674, 0.674, 0.000]]}



Number 1: total energy -4.17 eV/atom, total magnetic moment 0.00 μB per cell. Number 2: total energy -4.59 eV/atom, total magnetic moment 2.27 μB per cell. Number 3: total energy -9.04 eV/atom, total magnetic moment 5.19 μB per cell.